# CuW

An optimized crystal structure of CuW (PBE, Alexandria via LeMat-Bulk).

## Properties
Energy of formation, eV/atom: 1.09
Magnetization, μB per atom: 0.0000
DFT total energy, eV per atom: -7.44

```
8
Lattice="4.941 0.000 0.000 0.000 4.941 0.000 0.000 0.000 5.068" Properties=species:S:1:pos:R:3 pbc="T T T"
Cu 0.868 0.868 0.000
Cu 1.602 3.339 2.534
Cu 3.339 1.602 2.534
Cu 4.072 4.072 0.000
W 0.883 0.883 2.534
W 1.587 3.353 0.000
W 3.353 1.587 0.000
W 4.058 4.058 2.534
```

***

# CuW3

An optimized crystal structure of CuW3 (PBE, Alexandria via LeMat-Bulk).

## Properties
Energy of formation, eV/atom: 0.27
Magnetization, μB per atom: 0.0000
DFT total energy, eV per atom: -10.47

```
12
Lattice="8.911 0.000 0.000 -4.456 7.718 0.000 0.000 0.000 2.683" Properties=species:S:1:pos:R:3 pbc="T T T"
Cu 0.000 0.000 0.000
Cu 0.000 5.145 1.788
Cu 4.456 2.572 0.894
W -2.228 3.859 0.000
W 0.000 2.572 0.894
W -2.228 6.431 0.894
W 2.228 1.286 1.788
W 4.456 0.000 0.000
W 2.228 3.859 0.000
W 2.228 6.431 0.894
W 6.684 1.286 1.788
W 4.456 5.145 1.788
```

***

# CuW

An optimized crystal structure of CuW (PBE, Alexandria via LeMat-Bulk).

## Properties
Energy of formation, eV/atom: 0.51
Magnetization, μB per atom: 0.0000
DFT total energy, eV per atom: -8.01

```
16
Lattice="8.476 0.000 0.000 0.000 8.476 0.000 0.000 0.000 3.304" Properties=species:S:1:pos:R:3 pbc="T T T"
Cu 0.000 2.910 0.000
Cu 0.000 5.566 0.000
Cu 1.328 4.238 1.652
Cu 2.910 0.000 0.000
Cu 4.238 1.328 1.652
Cu 4.238 7.149 1.652
Cu 5.566 0.000 0.000
Cu 7.149 4.238 1.652
W 1.395 1.395 1.652
W 1.395 7.082 1.652
W 2.843 2.843 0.000
W 2.843 5.633 0.000
W 5.633 2.843 0.000
W 5.633 5.633 0.000
W 7.082 1.395 1.652
W 7.082 7.082 1.652
```